# 1
DFT (PBE) results for KMoAu2S after structural relaxation.

a = 5.127 Å, b = 5.132 Å, c = 5.127 Å
α = 90.00°, β = 90.00°, γ = 90.00°
Site moments in Bohr magnetons follow the coordinates.
Atoms (fractional coordinates):
Au  0.000  0.000  0.500  -0.13
Au  0.500  0.000  0.000  -0.11
S  0.000  0.500  0.000  -0.38
Mo  0.500  0.500  0.500  3.54
K  0.000  0.000  0.000  -0.05

Uncorrected formation energy   1.76 eV/atom
Calculated volume   27.0 Å³/atom
Calculated density   6.9 g/cm³

=====

# 2
DFT (PBE) results for KAu3N after structural relaxation.

a = 6.134 Å, b = 6.134 Å, c = 6.134 Å
α = 90.00°, β = 90.00°, γ = 90.00°
Site moments in Bohr magnetons follow the coordinates.
Atoms (fractional coordinates):
K  0.000  0.000  0.000  -0.01
Au  0.500  0.000  0.000  -0.06
Au  0.000  0.500  0.000  -0.10
Au  0.000  0.000  0.500  -0.06
N  0.500  0.500  0.500  1.91

Energy above the most stable polymorph in this dataset   1.5713 eV/atom
Uncorrected formation energy   2.07 eV/atom
Calculated volume   46.2 Å³/atom
Calculated density   4.6 g/cm³

=====

# 3
DFT (PBE) results for KAu4N2 after structural relaxation.

a = 6.456 Å, b = 6.456 Å, c = 7.518 Å
α = 64.57°, β = 64.57°, γ = 90.00°
Atoms (fractional coordinates):
Au  0.730  0.730  0.540
Au  0.270  0.270  0.460
Au  0.500  0.000  0.000
Au  0.000  0.500  0.000
N  0.453  0.453  0.094
N  0.547  0.547  0.906
K  0.000  0.000  0.000

Uncorrected formation energy   1.17 eV/atom
Calculated volume   35.6 Å³/atom
Calculated density   5.7 g/cm³

=====

# 4
DFT (PBE) results for K4Au2N after structural relaxation.

a = 5.471 Å, b = 5.471 Å, c = 9.805 Å
α = 73.80°, β = 73.80°, γ = 90.00°
Atoms (fractional coordinates):
Au  0.883  0.883  0.234
Au  0.117  0.117  0.766
K  0.500  0.000  0.000
K  0.000  0.500  0.000
K  0.695  0.695  0.610
K  0.305  0.305  0.390
N  0.000  0.000  0.000

Uncorrected formation energy   0.14 eV/atom
Calculated volume   38.5 Å³/atom
Calculated density   3.5 g/cm³

=====

# 5
DFT (PBE) results for K3AuN after structural relaxation.

a = 5.450 Å, b = 5.450 Å, c = 5.450 Å
α = 90.00°, β = 90.00°, γ = 90.00°
Site moments in Bohr magnetons follow the coordinates.
Atoms (fractional coordinates):
K  0.500  0.000  0.000  0.00
K  0.000  0.000  0.500  0.01
K  0.000  0.500  0.000  0.00
N  0.000  0.000  0.000  0.72
Au  0.500  0.500  0.500  -0.01

Energy above the most stable polymorph in this dataset   0.0000 eV/atom
Uncorrected formation energy   0.24 eV/atom
Calculated volume   32.4 Å³/atom
Calculated density   3.4 g/cm³

=====

# 6
DFT (PBE) results for KAuN after structural relaxation.

a = 7.186 Å, b = 6.079 Å, c = 9.413 Å
α = 49.78°, β = 40.23°, γ = 32.24°
Atoms (fractional coordinates):
N  0.942  0.073  0.966
N  0.437  0.577  0.467
Au  0.937  0.077  0.467
Au  0.442  0.573  0.966
K  0.440  0.075  0.466
K  0.939  0.575  0.967

Energy above the most stable polymorph in this dataset   0.3894 eV/atom
Uncorrected formation energy   0.22 eV/atom
Calculated volume   23.6 Å³/atom
Calculated density   5.9 g/cm³